Record 1
DFT (PBEsol) results for a geometry-optimized Mg3BiCl structure.

a = 5.0522 Å, b = 5.0522 Å, c = 5.0522 Å
α = 90.00°, β = 90.00°, γ = 90.00°
Last column: nearest neighbours and their distance in Å.
Space group Pm-3m (No. 221)
One atom of each set of equivalent atoms:
Mg: 0.0000 0.0000 0.5000  2 Cl 2.53
Bi: 0.5000 0.5000 0.5000  12 Mg 3.57
Cl: 0.0000 0.0000 0.0000  6 Mg 2.53

Values from the calculation:
energy: -11.94 eV/cell

---

Record 2
DFT (PBEsol) results for a geometry-optimized Hf5Al3C structure.

a = 8.1214 Å, b = 8.1214 Å, c = 5.5374 Å
α = 90.00°, β = 90.00°, γ = 120.00°
Last column: nearest neighbours and their distance in Å.
Space group P6_3/mcm (No. 193)
One atom of each set of equivalent atoms:
Hf: 0.0000 0.2238 0.2500  2 C 2.28
Hf: 0.3333 0.6667 0.0000  2 Hf 2.77, 6 Al 2.84
Al: 0.0000 0.4011 0.7500  9 Hf 2.83-3.12
C: 0.0000 0.0000 0.0000  6 Hf 2.28

Values from the calculation:
ΔE_f: -0.48 eV/atom
energy: -157.58 eV/cell

---

Record 3
DFT (PBEsol) results for a geometry-optimized Zr2TlIn structure.

a = 7.0238 Å, b = 7.0238 Å, c = 7.0238 Å
α = 90.00°, β = 90.00°, γ = 90.00°
Last column: nearest neighbours and their distance in Å.
Space group Fm-3m (No. 225)
One atom of each set of equivalent atoms:
Zr: 0.2500 0.2500 0.2500  4 Tl 3.04, 4 In 3.04
Tl: 0.0000 0.0000 0.0000  8 Zr 3.04
In: 0.0000 0.0000 0.5000  8 Zr 3.04

Values from the calculation:
relative energy among the computed polymorphs: 165 meV per atom
ΔE_f: -0.11 eV/atom
energy: -96.97 eV/cell

---

Record 4
DFT (PBEsol) results for a geometry-optimized Hg2PtW structure.

a = 2.8201 Å, b = 4.7785 Å, c = 5.1897 Å
α = 90.00°, β = 91.74°, γ = 90.00°
Last column: nearest neighbours and their distance in Å.
Space group P2/m (No. 10)
One atom of each set of equivalent atoms:
Hg: 0.2130 0.0000 0.2488  2 Pt 2.80, 6 Hg 2.81-3.09, 2 W 2.85
Pt: 0.0000 0.5000 0.5000  4 Hg 2.80, 2 Pt 2.82, 4 W 2.92-2.99
W: 0.5000 0.5000 0.0000  2 W 2.82, 4 Hg 2.85, 4 Pt 2.92-2.99

Values from the calculation:
relative energy among the computed polymorphs: 53 meV per atom
ΔE_f: 0.49 eV/atom
energy: -19.93 eV/cell

---

Record 5
DFT (PBEsol) results for a geometry-optimized SrMg2NbTl structure.

a = 5.3495 Å, b = 5.3495 Å, c = 5.3990 Å
α = 90.00°, β = 90.00°, γ = 90.00°
Last column: nearest neighbours and their distance in Å.
Space group P4/mmm (No. 123)
One atom of each set of equivalent atoms:
Sr: 0.0000 0.0000 0.0000  4 Tl 3.78, 8 Mg 3.80
Mg: 0.0000 0.5000 0.5000  2 Nb 2.67
Nb: 0.5000 0.5000 0.5000  4 Mg 2.67, 2 Tl 2.70
Tl: 0.5000 0.5000 0.0000  2 Nb 2.70

Values from the calculation:
ΔE_f: 0.52 eV/atom
energy: -16.15 eV/cell

---

Record 6
DFT (PBEsol) results for a geometry-optimized Tl4Rh structure.

a = 3.3493 Å, b = 3.3493 Å, c = 37.0201 Å
α = 90.00°, β = 90.00°, γ = 120.00°
Last column: nearest neighbours and their distance in Å.
Space group R-3m (No. 166, hexagonal axes)
One atom of each set of equivalent atoms:
Tl: 0.0000 0.0000 0.1137  3 Rh 2.75
Tl: 0.0000 0.0000 0.2942  12 Tl 3.35-3.48
Rh: 0.0000 0.0000 0.5000  6 Tl 2.75

Values from the calculation:
relative energy among the computed polymorphs: 41 meV per atom
ΔE_f: 0.12 eV/atom
energy: -54.11 eV/cell

---

Number 1: total moment 0.0 μB per cell. Number 2: total moment 0.0 μB per cell. Number 3: total moment 0.0 μB per cell. Number 4: total moment 0.0 μB per cell. Number 5: total moment 1.7 μB per cell. Number 6: total moment 0.0 μB per cell.